1.
DFT (GGA-PBE) results for an optimized crystal structure of Nd3Er2Tm6Zr.

Results
DFT formation energy: 0.54 eV/f.u.
Total magnetization: 0.0 μB/f.u.
Volume: 365.7 Å³/cell

Lattice parameters (Å, degrees): 6.0882 6.0882 11.5677 95.03 95.03 119.96
With the nearest neighbours (Å) after each atom.
Sites, in units of the cell vectors:
Nd 0.8341 0.1659 0.5000  6 Nd 3.50-3.52, 6 Tm 3.57-3.61
Nd 0.5000 0.5000 0.5000  6 Nd 3.51-3.52, 6 Tm 3.57-3.61
Nd 0.1659 0.8341 0.5000  6 Nd 3.50-3.52, 6 Tm 3.57-3.61
Tm 0.2464 0.2464 0.7594  1 Zr 3.39, 2 Er 3.42, 6 Tm 3.44-3.56, 3 Nd 3.57-3.61
Tm 0.4061 0.0797 0.2410  1 Zr 3.39, 2 Er 3.43, 6 Tm 3.44-3.56, 3 Nd 3.57-3.61
Tm 0.9203 0.5939 0.7590  1 Zr 3.39, 2 Er 3.43, 6 Tm 3.44-3.56, 3 Nd 3.57-3.61
Tm 0.5939 0.9203 0.7590  1 Zr 3.39, 2 Er 3.43, 6 Tm 3.44-3.56, 3 Nd 3.57-3.61
Tm 0.7536 0.7536 0.2406  1 Zr 3.39, 2 Er 3.42, 6 Tm 3.44-3.56, 3 Nd 3.57-3.61
Tm 0.0797 0.4061 0.2410  1 Zr 3.39, 2 Er 3.43, 6 Tm 3.44-3.56, 3 Nd 3.57-3.61
Er 0.6667 0.3333 0.0000  6 Tm 3.42-3.43, 3 Zr 3.51-3.52, 3 Er 3.52
Er 0.3333 0.6667 0.0000  6 Tm 3.42-3.43, 3 Zr 3.51-3.52, 3 Er 3.52
Zr 0.0000 0.0000 0.0000  6 Tm 3.39, 6 Er 3.51-3.52



2.
DFT (GGA-PBE) results for an optimized crystal structure of Li2PrPb.

Results
DFT formation energy: -1.33 eV/f.u.
Total magnetization: 0.3 μB/f.u.
Offset from the most stable computed form: 22 meV per atom
Volume: 198.7 Å³/cell

Lattice parameters (Å, degrees): 4.8119 6.4474 6.4057 90.00 90.00 90.00
With the nearest neighbours (Å) after each atom.
Sites, in units of the cell vectors:
Pr 0.0000 0.4006 0.0000  4 Pb 3.33-3.36, 8 Li 3.43-3.66
Pr 0.5000 0.5994 0.5000  4 Pb 3.33-3.36, 8 Li 3.43-3.66
Li 0.5000 0.1191 0.7299  3 Li 2.87-2.95, 3 Pb 2.90-2.93
Li 0.0000 0.8809 0.7701  3 Li 2.87-2.95, 3 Pb 2.90-2.93
Li 0.0000 0.8809 0.2299  3 Li 2.87-2.95, 3 Pb 2.90-2.93
Li 0.5000 0.1191 0.2701  3 Li 2.87-2.95, 3 Pb 2.90-2.93
Pb 0.5000 0.7574 0.0000  6 Li 2.90-2.93
Pb 0.0000 0.2426 0.5000  6 Li 2.90-2.93



3.
DFT (GGA-PBE) results for an optimized crystal structure of Ga2TeSe.

Results
Total magnetization: 0.0 μB/f.u.
Offset from the most stable computed form: 0 meV per atom
Formation energy from raw total energies: -0.1961 eV per atom
Volume: 218.8 Å³/cell

Lattice parameters (Å, degrees): 7.0787 7.0787 6.6430 57.81 57.81 90.00
With the nearest neighbours (Å) after each atom.
Sites, in units of the cell vectors:
Se 0.5000 0.5000 0.0000  4 Ga 2.64
Se 0.2500 0.7500 0.5000  4 Ga 2.64
Te 0.7500 0.2500 0.5000  4 Ga 2.83
Te 0.0000 0.0000 0.0000  4 Ga 2.83
Ga 0.8750 0.8541 0.7500  2 Se 2.64, 2 Te 2.83
Ga 0.1459 0.6250 0.2500  2 Se 2.64, 2 Te 2.83
Ga 0.6041 0.1250 0.2500  2 Se 2.64, 2 Te 2.83
Ga 0.3750 0.3959 0.7500  2 Se 2.64, 2 Te 2.83



4.
DFT (GGA-PBE) results for an optimized crystal structure of PmSm2P3.

Results
DFT formation energy: -9.42 eV/f.u.
Total magnetization: 0.0 μB/f.u.
Volume: 147.9 Å³/cell

Lattice parameters (Å, degrees): 4.1206 5.8167 7.1268 114.08 106.80 90.00
With the nearest neighbours (Å) after each atom.
Sites, in units of the cell vectors:
P 0.3326 0.3326 0.6651  4 Sm 2.91, 2 Pm 2.92
P 0.6674 0.6674 0.3349  4 Sm 2.91, 2 Pm 2.92
P 0.0000 0.0000 0.0000  2 Pm 2.91, 4 Sm 2.91
Sm 0.6666 0.1666 0.3332  6 P 2.91
Sm 0.3334 0.8334 0.6668  6 P 2.91
Pm 0.0000 0.5000 0.0000  6 P 2.91-2.92